Entry 1:
{"formula": "Pm2NdBr5", "functional": "PBE", "state": "optimized geometry", "raw_formation_energy_ev_per_atom": -1.284, "dos_ef_per_ev_atom": 0.572, "volume_a3_per_cell": 1212, "lattice": [[7.1178, 0.0000, 0.0000], [0.0000, 13.2021, 0.0000], [0.0000, 0.0000, 12.8998]], "species": ["Pm", "Pm", "Pm", "Pm", "Pm", "Pm", "Pm", "Pm", "Nd", "Nd", "Nd", "Nd", "Br", "Br", "Br", "Br", "Br", "Br", "Br", "Br", "Br", "Br", "Br", "Br", "Br", "Br", "Br", "Br", "Br", "Br", "Br", "Br"], "fractional_positions": [[0.2478, 0.0000, 0.0000], [0.7522, 0.0000, 0.0000], [0.0000, 0.1036, 0.6026], [0.5000, 0.3964, 0.1026], [0.2522, 0.5000, 0.5000], [0.7478, 0.5000, 0.5000], [0.5000, 0.6036, 0.8974], [0.0000, 0.8964, 0.3974], [0.0000, 0.2985, 0.2148], [0.5000, 0.2015, 0.7148], [0.5000, 0.7985, 0.2852], [0.0000, 0.7015, 0.7852], [0.0000, 0.0901, 0.8356], [0.5000, 0.0043, 0.8133], [0.0000, 0.1204, 0.3639], [0.2534, 0.2195, 0.0569], [0.7466, 0.2195, 0.0569], [0.2466, 0.2805, 0.5569], [0.7534, 0.2805, 0.5569], [0.5000, 0.3796, 0.8639], [0.0000, 0.4957, 0.3133], [0.5000, 0.4099, 0.3356], [0.5000, 0.5901, 0.6644], [0.0000, 0.5043, 0.6867], [0.5000, 0.6204, 0.1361], [0.2466, 0.7195, 0.4431], [0.7534, 0.7195, 0.4431], [0.2534, 0.7805, 0.9431], [0.7466, 0.7805, 0.9431], [0.0000, 0.8796, 0.6361], [0.5000, 0.9957, 0.1867], [0.0000, 0.9099, 0.1644]]}

Entry 2:
{"formula": "Sm12GaCo6", "functional": "PBE", "state": "optimized geometry", "e_form_ev_per_atom": -0.1649, "dos_ef_per_ev_atom": 0.730, "volume_a3_per_cell": 474, "lattice": [[8.0206, 0.0000, -2.8357], [-4.0103, 6.9460, -2.8357], [0.0000, 0.0000, 8.5071]], "species": ["Sm", "Sm", "Sm", "Sm", "Sm", "Sm", "Sm", "Sm", "Sm", "Sm", "Sm", "Sm", "Ga", "Co", "Co", "Co", "Co", "Co", "Co"], "fractional_positions": [[0.3025, 0.1100, 0.8075], [0.3025, 0.4950, 0.1925], [0.6975, 0.5050, 0.8075], [0.6975, 0.8900, 0.1925], [0.1100, 0.8075, 0.3025], [0.4950, 0.1925, 0.3025], [0.5050, 0.8075, 0.6975], [0.8900, 0.1925, 0.6975], [0.8075, 0.3025, 0.1100], [0.1925, 0.3025, 0.4950], [0.8075, 0.6975, 0.5050], [0.1925, 0.6975, 0.8900], [0.0000, 0.0000, 0.0000], [0.3876, 0.5000, 0.8876], [0.6124, 0.5000, 0.1124], [0.5000, 0.8876, 0.3876], [0.5000, 0.1124, 0.6124], [0.8876, 0.3876, 0.5000], [0.1124, 0.6124, 0.5000]]}

Entry 3:
{"formula": "Tl2InMoCl6", "functional": "PBE", "state": "optimized geometry", "raw_formation_energy_ev_per_atom": -0.913, "volume_a3_per_cell": 665, "lattice": [[7.2294, 0.0000, 0.0000], [0.0000, 8.4834, 0.0000], [0.0000, 0.0000, 10.8441]], "species": ["Tl", "Tl", "Tl", "Tl", "In", "In", "Mo", "Mo", "Cl", "Cl", "Cl", "Cl", "Cl", "Cl", "Cl", "Cl", "Cl", "Cl", "Cl", "Cl"], "fractional_positions": [[0.5000, 0.8257, 0.1990], [0.0000, 0.1743, 0.6990], [0.5000, 0.8257, 0.8010], [0.0000, 0.1743, 0.3010], [0.0000, 0.6863, 0.5000], [0.5000, 0.3137, 0.0000], [0.5000, 0.2000, 0.5000], [0.0000, 0.8000, 0.0000], [0.5000, 0.1950, 0.2728], [0.5000, 0.1950, 0.7272], [0.0000, 0.8050, 0.2272], [0.0000, 0.8050, 0.7728], [0.2584, 0.9930, 0.5000], [0.7416, 0.9930, 0.5000], [0.2536, 0.3980, 0.5000], [0.7464, 0.3980, 0.5000], [0.7536, 0.6020, 0.0000], [0.2464, 0.6020, 0.0000], [0.2416, 0.0070, 0.0000], [0.7584, 0.0070, 0.0000]]}